A plane-wave DFT calculation with PBE with a Hubbard U was carried out for an optimized crystal structure of Li7Mn4P9O32.

Output
DFT total energy (eV/atom): -6.94

CIF file:
```
data_Li7Mn4P9O32
_chemical_formula_sum 'Li14 Mn8 P18 O64'
_cell_length_a 13.563
_cell_length_b 13.563
_cell_length_c 6.686
_cell_angle_alpha 90.00
_cell_angle_beta 90.00
_cell_angle_gamma 90.00
_space_group_name_H-M_alt 'P -4 21 c'
_space_group_IT_number 114
_space_group_name_Hall 'P -4 2n'
loop_
_atom_site_label
_atom_site_type_symbol
_atom_site_fract_x
_atom_site_fract_y
_atom_site_fract_z
Li1 Li 0.000 0.000 0.000
Li2 Li 0.000 0.500 0.128
Li3 Li 0.096 0.258 0.810
Mn1 Mn 0.121 0.800 0.614
P1 P 0.000 0.000 0.500
P2 P 0.061 0.309 0.382
P3 P 0.106 0.758 0.124
O1 O 0.006 0.276 0.179
O2 O 0.013 0.260 0.565
O3 O 0.064 0.935 0.641
O4 O 0.065 0.420 0.386
O5 O 0.091 0.811 0.928
O6 O 0.142 0.826 0.290
O7 O 0.160 0.663 0.608
O8 O 0.166 0.267 0.355
```

A plane-wave DFT calculation with PBE with a Hubbard U was carried out for an optimized crystal structure of Li3MnP2O8.

Output
N(E_F) (states/eV/cell): 0.18
Distance to the lowest polymorph of the same formula (eV/atom): 0.002
DFT total energy (eV/atom): -6.75

CIF file:
```
data_Li3MnP2O8
_chemical_formula_sum 'Li6 Mn2 P4 O16'
_cell_length_a 4.740
_cell_length_b 6.044
_cell_length_c 10.119
_cell_angle_alpha 90.00
_cell_angle_beta 92.29
_cell_angle_gamma 90.00
_space_group_name_H-M_alt 'P 1 21/m 1'
_space_group_IT_number 11
_space_group_name_Hall '-P 2yb'
loop_
_atom_site_label
_atom_site_type_symbol
_atom_site_fract_x
_atom_site_fract_y
_atom_site_fract_z
Li1 Li 0.000 0.000 0.000
Li2 Li 0.021 0.250 0.286
Li3 Li 0.500 0.000 0.500
Mn1 Mn 0.469 0.250 0.784
P1 P 0.096 0.750 0.395
P2 P 0.432 0.750 0.909
O1 O 0.196 0.750 0.541
O2 O 0.228 0.546 0.326
O3 O 0.237 0.250 0.618
O4 O 0.248 0.250 0.083
O5 O 0.293 0.544 0.840
O6 O 0.302 0.750 0.053
```

A plane-wave DFT calculation with PBE with a Hubbard U was carried out for an optimized crystal structure of LiMnP2O.

Output
N(E_F) (states/eV/cell): 3.54
Distance to the lowest polymorph of the same formula (eV/atom): 0.723
DFT total energy (eV/atom): -3.96

CIF file:
```
data_LiMnP2O
_chemical_formula_sum 'Li1 Mn1 P2 O1'
_cell_length_a 4.449
_cell_length_b 4.449
_cell_length_c 3.272
_cell_angle_alpha 90.00
_cell_angle_beta 90.00
_cell_angle_gamma 90.00
_space_group_name_H-M_alt 'P 4/m m m'
_space_group_IT_number 123
_space_group_name_Hall '-P 4 2'
loop_
_atom_site_label
_atom_site_type_symbol
_atom_site_fract_x
_atom_site_fract_y
_atom_site_fract_z
Li1 Li 0.000 0.000 0.000
Mn1 Mn 0.500 0.500 0.500
P1 P 0.000 0.500 0.000
O1 O 0.000 0.000 0.500
```

A plane-wave DFT calculation with PBE with a Hubbard U was carried out for an optimized crystal structure of Li2Mn3P4O14.

Output
N(E_F) (states/eV/cell): 0.00
Distance to the lowest polymorph of the same formula (eV/atom): 0.000
DFT total energy (eV/atom): -7.30

CIF file:
```
data_Li2Mn3P4O14
_chemical_formula_sum 'Li4 Mn6 P8 O28'
_cell_length_a 7.485
_cell_length_b 7.991
_cell_length_c 9.959
_cell_angle_alpha 90.00
_cell_angle_beta 110.43
_cell_angle_gamma 90.00
_space_group_name_H-M_alt 'P 1 21/c 1'
_space_group_IT_number 14
_space_group_name_Hall '-P 2ybc'
loop_
_atom_site_label
_atom_site_type_symbol
_atom_site_fract_x
_atom_site_fract_y
_atom_site_fract_z
Li1 Li 0.213 0.075 0.157
Mn1 Mn 0.302 0.125 0.481
Mn2 Mn 0.500 0.000 0.000
P1 P 0.102 0.054 0.719
P2 P 0.384 0.703 0.194
O1 O 0.104 0.508 0.800
O2 O 0.124 0.178 0.608
O3 O 0.183 0.626 0.187
O4 O 0.222 0.110 0.873
O5 O 0.343 0.626 0.624
O6 O 0.471 0.584 0.111
O7 O 0.492 0.203 0.145
```

A plane-wave DFT calculation with PBE with a Hubbard U was carried out for an optimized crystal structure of LiMnP2O7.

Output
Distance to the lowest polymorph of the same formula (eV/atom): 0.027
DFT total energy (eV/atom): -7.10

CIF file:
```
data_LiMnP2O7
_chemical_formula_sum 'Li4 Mn4 P8 O28'
_cell_length_a 6.925
_cell_length_b 8.319
_cell_length_c 9.306
_cell_angle_alpha 90.00
_cell_angle_beta 110.44
_cell_angle_gamma 90.00
_space_group_name_H-M_alt 'P 1 21/c 1'
_space_group_IT_number 14
_space_group_name_Hall '-P 2ybc'
loop_
_atom_site_label
_atom_site_type_symbol
_atom_site_fract_x
_atom_site_fract_y
_atom_site_fract_z
Li1 Li 0.206 0.065 0.082
Mn1 Mn 0.300 0.068 0.677
P1 P 0.059 0.737 0.739
P2 P 0.457 0.725 0.027
O1 O 0.040 0.612 0.620
O2 O 0.108 0.593 0.196
O3 O 0.132 0.245 0.709
O4 O 0.241 0.688 0.898
O5 O 0.378 0.228 0.551
O6 O 0.459 0.615 0.606
O7 O 0.487 0.583 0.139
```

A plane-wave DFT calculation with PBE with a Hubbard U was carried out for an optimized crystal structure of LiMnP4O12.

Output
Distance to the lowest polymorph of the same formula (eV/atom): 0.073
DFT total energy (eV/atom): -7.04

CIF file:
```
data_LiMnP4O12
_chemical_formula_sum 'Li4 Mn4 P16 O48'
_cell_length_a 15.666
_cell_length_b 8.193
_cell_length_c 9.934
_cell_angle_alpha 90.00
_cell_angle_beta 127.68
_cell_angle_gamma 90.00
_space_group_name_H-M_alt 'C 1 2/c 1'
_space_group_IT_number 15
_space_group_name_Hall '-C 2yc'
loop_
_atom_site_label
_atom_site_type_symbol
_atom_site_fract_x
_atom_site_fract_y
_atom_site_fract_z
Li1 Li 0.000 0.247 0.250
Mn1 Mn 0.000 0.305 0.750
P1 P 0.131 0.192 0.643
P2 P 0.147 0.437 0.136
O1 O 0.040 0.149 0.655
O2 O 0.079 0.454 0.942
O3 O 0.111 0.324 0.209
O4 O 0.114 0.162 0.482
O5 O 0.160 0.380 0.711
O6 O 0.234 0.099 0.804
```

A plane-wave DFT calculation with PBE with a Hubbard U was carried out for an optimized crystal structure of Li5Mn3P4O16.

Output
N(E_F) (states/eV/cell): 3.55
DFT total energy (eV/atom): -6.96

CIF file:
```
data_Li5Mn3P4O16
_chemical_formula_sum 'Li5 Mn3 P4 O16'
_cell_length_a 4.777
_cell_length_b 6.008
_cell_length_c 10.551
_cell_angle_alpha 90.00
_cell_angle_beta 90.76
_cell_angle_gamma 90.00
_space_group_name_H-M_alt 'P 1 m 1'
_space_group_IT_number 6
_space_group_name_Hall 'P -2y'
loop_
_atom_site_label
_atom_site_type_symbol
_atom_site_fract_x
_atom_site_fract_y
_atom_site_fract_z
Li1 Li 0.000 0.000 0.000
Li2 Li 0.492 0.243 0.787
Li3 Li 0.984 0.243 0.267
Mn1 Mn 0.477 0.000 0.497
Mn2 Mn 0.482 0.500 0.056
Mn3 Mn 0.972 0.500 0.558
P1 P 0.074 0.500 0.875
P2 P 0.397 0.500 0.370
P3 P 0.556 0.000 0.182
P4 P 0.908 0.000 0.689
O1 O 0.194 0.500 0.739
O2 O 0.215 0.299 0.948
O3 O 0.229 0.000 0.682
O4 O 0.236 0.000 0.184
O5 O 0.265 0.296 0.442
O6 O 0.267 0.500 0.235
O7 O 0.685 0.210 0.114
O8 O 0.692 0.000 0.318
O9 O 0.717 0.500 0.374
O10 O 0.754 0.500 0.878
O11 O 0.771 0.204 0.616
O12 O 0.791 0.000 0.824
```

A plane-wave DFT calculation with PBE with a Hubbard U was carried out for an optimized crystal structure of LiMn2P2O8.

Output
N(E_F) (states/eV/cell): 9.49
Distance to the lowest polymorph of the same formula (eV/atom): 0.018
DFT total energy (eV/atom): -7.27

CIF file:
```
data_LiMn2P2O8
_chemical_formula_sum 'Li6 Mn12 P12 O48'
_cell_length_a 12.165
_cell_length_b 12.353
_cell_length_c 6.720
_cell_angle_alpha 90.00
_cell_angle_beta 116.98
_cell_angle_gamma 90.00
_space_group_name_H-M_alt 'C 1 2 1'
_space_group_IT_number 5
_space_group_name_Hall 'C 2y'
loop_
_atom_site_label
_atom_site_type_symbol
_atom_site_fract_x
_atom_site_fract_y
_atom_site_fract_z
Li1 Li 0.000 0.000 0.000
Li2 Li 0.041 0.484 0.752
Mn1 Mn 0.000 0.256 0.000
Mn2 Mn 0.000 0.716 0.500
Mn3 Mn 0.220 0.133 0.884
Mn4 Mn 0.224 0.816 0.396
P1 P 0.000 0.268 0.500
P2 P 0.000 0.683 0.000
P3 P 0.235 0.084 0.368
P4 P 0.235 0.868 0.889
O1 O 0.047 0.197 0.713
O2 O 0.047 0.755 0.214
O3 O 0.096 0.348 0.488
O4 O 0.098 0.605 0.991
O5 O 0.127 0.384 0.038
O6 O 0.130 0.575 0.588
O7 O 0.151 0.139 0.140
O8 O 0.168 0.812 0.658
O9 O 0.171 0.977 0.888
O10 O 0.174 0.972 0.354
O11 O 0.221 0.792 0.065
O12 O 0.227 0.154 0.556
```

A plane-wave DFT calculation with PBE with a Hubbard U was carried out for an optimized crystal structure of LiMn2P2O8.

Output
N(E_F) (states/eV/cell): 0.02
Distance to the lowest polymorph of the same formula (eV/atom): 0.016
DFT total energy (eV/atom): -7.28

CIF file:
```
data_LiMn2P2O8
_chemical_formula_sum 'Li2 Mn4 P4 O16'
_cell_length_a 5.293
_cell_length_b 8.831
_cell_length_c 7.600
_cell_angle_alpha 90.00
_cell_angle_beta 90.29
_cell_angle_gamma 90.00
_space_group_name_H-M_alt 'P 1 21 1'
_space_group_IT_number 4
_space_group_name_Hall 'P 2yb'
loop_
_atom_site_label
_atom_site_type_symbol
_atom_site_fract_x
_atom_site_fract_y
_atom_site_fract_z
Li1 Li 0.127 0.000 0.168
Mn1 Mn 0.114 0.902 0.698
Mn2 Mn 0.453 0.289 0.705
P1 P 0.019 0.714 0.049
P2 P 0.395 0.569 0.516
O1 O 0.018 0.222 0.154
O2 O 0.033 0.049 0.902
O3 O 0.165 0.324 0.850
O4 O 0.167 0.467 0.486
O5 O 0.281 0.777 0.100
O6 O 0.332 0.744 0.519
O7 O 0.411 0.071 0.642
O8 O 0.464 0.011 0.317
```

A plane-wave DFT calculation with PBE with a Hubbard U was carried out for an optimized crystal structure of LiMnP2O7.

Output
Distance to the lowest polymorph of the same formula (eV/atom): 0.012
DFT total energy (eV/atom): -7.11

CIF file:
```
data_LiMnP2O7
_chemical_formula_sum 'Li2 Mn2 P4 O14'
_cell_length_a 6.239
_cell_length_b 6.305
_cell_length_c 7.169
_cell_angle_alpha 82.82
_cell_angle_beta 68.82
_cell_angle_gamma 82.04
_space_group_name_H-M_alt 'P -1'
_space_group_IT_number 2
_space_group_name_Hall '-P 1'
loop_
_atom_site_label
_atom_site_type_symbol
_atom_site_fract_x
_atom_site_fract_y
_atom_site_fract_z
Li1 Li 0.205 0.008 0.344
Mn1 Mn 0.400 0.352 0.740
P1 P 0.153 0.609 0.145
P2 P 0.284 0.860 0.739
O1 O 0.100 0.396 0.715
O2 O 0.111 0.941 0.639
O3 O 0.142 0.794 0.971
O4 O 0.267 0.401 0.050
O5 O 0.283 0.697 0.262
O6 O 0.439 0.032 0.741
O7 O 0.446 0.660 0.647
```